1.
First-principles (PBE) data for Ba2PrPd9 after structural relaxation, as listed in Alexandria via LeMat-Bulk.

Cell lengths 9.8648, 9.8648, 9.8648 Å; angles 32.48, 32.48, 32.48 degrees
Last column: nearest neighbours and their distance in Å.
Fractional positions:
Ba1 0.1402 0.1402 0.1402  12 Pd 3.23-3.54, 3 Ba 3.51
Ba2 0.8598 0.8598 0.8598  12 Pd 3.23-3.54, 3 Ba 3.51
Pr1 0.0000 0.0000 0.0000  18 Pd 3.19-3.56
Pd1 0.0810 0.5801 0.5801  7 Pd 2.74-2.89
Pd2 0.3326 0.3326 0.3326  6 Pd 2.74-2.77
Pd3 0.4199 0.4199 0.9190  7 Pd 2.74-2.89
Pd4 0.4199 0.9190 0.4199  7 Pd 2.74-2.89
Pd5 0.5000 0.5000 0.5000  6 Pd 2.89
Pd6 0.5801 0.0810 0.5801  7 Pd 2.74-2.89
Pd7 0.5801 0.5801 0.0810  7 Pd 2.74-2.89
Pd8 0.6674 0.6674 0.6674  6 Pd 2.74-2.77
Pd9 0.9190 0.4199 0.4199  7 Pd 2.74-2.89

Energy relative to the elements in meV/atom: -519
Space group: R-3m (166)
Total DFT energy (no corrections) in eV/atom: -5.13


2.
First-principles (PBE) data for SnHgAu4 after structural relaxation, as listed in Alexandria via LeMat-Bulk.

Cell lengths 5.6182, 5.6182, 5.6182 Å; angles 60.00, 60.00, 60.00 degrees
Last column: nearest neighbours and their distance in Å.
Fractional positions:
Sn1 0.0000 0.0000 0.0000  12 Au 3.29, 4 Hg 3.44
Hg1 0.2500 0.2500 0.2500  12 Au 3.29, 4 Sn 3.44
Au1 0.1253 0.6249 0.6249  6 Au 2.81
Au2 0.6249 0.1253 0.6249  6 Au 2.81
Au3 0.6249 0.6249 0.1253  6 Au 2.81
Au4 0.6249 0.6249 0.6249  6 Au 2.81

Energy relative to the elements in meV/atom: 28
Space group: F-43m (216)
Distance to the lowest polymorph of the same formula in meV per atom: 0
Total DFT energy (no corrections) in eV/atom: -2.87


3.
First-principles (PBE) data for PmTm6Sc3 after structural relaxation, as listed in Alexandria via LeMat-Bulk.

Cell lengths 10.5810, 10.5810, 6.1277 Å; angles 90.00, 90.00, 122.14 degrees
Last column: nearest neighbours and their distance in Å.
Fractional positions:
Pm1 0.2101 0.7899 0.5000  3 Sc 3.01-3.28, 4 Tm 3.21-3.29
Pm2 0.7899 0.2101 0.0000  3 Sc 3.01-3.28, 4 Tm 3.21-3.29
Tm1 0.0278 0.4380 0.6505  3 Sc 3.15-3.50, 2 Pm 3.21-3.29, 5 Tm 3.31-3.50
Tm2 0.0463 0.9537 0.1629  6 Tm 3.51-3.79, 4 Sc 3.54-3.55, 1 Pm 3.67
Tm3 0.2933 0.3688 0.8109  4 Sc 3.16-3.38, 6 Tm 3.37-3.51
Tm4 0.3119 0.6881 0.9622  1 Sc 3.12, 6 Tm 3.31-3.41, 1 Pm 3.40
Tm5 0.3688 0.2933 0.3109  4 Sc 3.16-3.38, 6 Tm 3.37-3.51
Tm6 0.4380 0.0278 0.1505  3 Sc 3.15-3.50, 2 Pm 3.21-3.29, 5 Tm 3.31-3.50
Tm7 0.5620 0.9722 0.6505  3 Sc 3.15-3.50, 2 Pm 3.21-3.29, 5 Tm 3.31-3.50
Tm8 0.6312 0.7067 0.8109  4 Sc 3.16-3.38, 6 Tm 3.37-3.51
Tm9 0.6881 0.3119 0.4622  1 Sc 3.12, 6 Tm 3.31-3.41, 1 Pm 3.40
Tm10 0.7067 0.6312 0.3109  4 Sc 3.16-3.38, 6 Tm 3.37-3.51
Tm11 0.9537 0.0463 0.6629  6 Tm 3.51-3.79, 4 Sc 3.54-3.55, 1 Pm 3.67
Tm12 0.9722 0.5620 0.1505  3 Sc 3.15-3.50, 2 Pm 3.21-3.29, 5 Tm 3.31-3.50
Sc1 0.0798 0.3039 0.2257  1 Pm 3.01, 3 Tm 3.15-3.22
Sc2 0.3039 0.0798 0.7257  1 Pm 3.01, 3 Tm 3.15-3.22
Sc3 0.3852 0.6148 0.4209  5 Tm 3.12-3.38, 1 Pm 3.28, 2 Sc 3.37
Sc4 0.6148 0.3852 0.9209  5 Tm 3.12-3.38, 1 Pm 3.28, 2 Sc 3.37
Sc5 0.6961 0.9202 0.2257  1 Pm 3.01, 3 Tm 3.15-3.22
Sc6 0.9202 0.6961 0.7257  1 Pm 3.01, 3 Tm 3.15-3.22

Energy relative to the elements in meV/atom: 162
Space group: Cmc2_1 (36)
Distance to the lowest polymorph of the same formula in meV per atom: 0
Total DFT energy (no corrections) in eV/atom: -4.90


Q: The lowest total DFT energy (no corrections) belongs to which entry?
A: Ba2PrPd9